Entry 1:
Ti2CuPd2: relaxed, PBE-GGA.

## Properties
Energy relative to the elements (meV/atom): -324
E_tot (eV/cell): -63.8
SG: No. 36
ΔE to the lowest computed polymorph (eV/f.u.): 0.00

a b c (Å): 4.2698 7.9770 5.0453
angles (deg): 90.00 115.03 90.00
With the nearest neighbours (Å) after each atom.
Fractional positions:
Ti (0.0507, 0.3262, 0.1013)  1 Cu 2.58, 1 Pd 2.66, 1 Ti 2.79
Ti (0.2102, 0.6447, 0.4203)  4 Pd 2.57-2.83, 3 Cu 2.59-2.81, 1 Ti 2.79
Ti (0.7898, 0.1447, 0.5797)  4 Pd 2.57-2.83, 3 Cu 2.59-2.81, 1 Ti 2.79
Ti (0.9493, 0.8262, 0.8987)  1 Cu 2.58, 1 Pd 2.66, 1 Ti 2.79
Cu (0.6676, 0.8215, 0.3352)  4 Pd 2.50-2.58, 3 Ti 2.58-2.59
Cu (0.3324, 0.3215, 0.6648)  4 Pd 2.50-2.58, 3 Ti 2.58-2.59
Pd (0.5000, 0.5737, 0.0001)  2 Cu 2.50-2.53, 1 Ti 2.71
Pd (0.1981, 0.9995, 0.3962)  4 Ti 2.57-2.83, 3 Cu 2.58-2.85, 3 Pd 2.82-2.86
Pd (0.8019, 0.4995, 0.6038)  4 Ti 2.57-2.83, 3 Cu 2.58-2.85, 3 Pd 2.82-2.86
Pd (0.5000, 0.0737, 0.9999)  2 Cu 2.50-2.53, 1 Ti 2.71

=====

Entry 2:
RbY2TiMo: relaxed, PBE-GGA.

## Properties
Energy relative to the elements (meV/atom): 680
E_tot (eV/cell): -29.2
SG: No. 123

a b c (Å): 5.7187 4.8253 5.7187
angles (deg): 90.00 90.00 90.00
With the nearest neighbours (Å) after each atom.
Fractional positions:
Y (0.0000, 0.0000, 0.5000)  2 Mo 2.86
Y (0.5000, 0.0000, 0.0000)  2 Mo 2.86
Mo (0.0000, 0.0000, 0.0000)  2 Ti 2.41
Rb (0.5000, 0.5000, 0.5000)  8 Y 3.74, 4 Ti 4.04
Ti (0.0000, 0.5000, 0.0000)  2 Mo 2.41

=====

Entry 3:
Ac3Pr4S8: relaxed, PBE-GGA.

## Properties
Formation energy from raw total energies (meV/atom): -2022
E_tot (eV/cell): -94.8
SG: No. 12

a b c (Å): 8.3272 8.3993 8.3993
angles (deg): 89.96 119.77 119.77
With the nearest neighbours (Å) after each atom.
Fractional positions:
Ac (0.5000, 0.5000, 0.0000)  6 S 2.97
Ac (0.5000, 0.0000, 0.5000)  6 S 2.97
Ac (0.5000, 0.5000, 0.5000)  6 S 3.01-3.02
Pr (0.5000, 0.0000, 0.0000)  6 S 2.92
Pr (0.0000, 0.5000, 0.0000)  6 S 2.97
Pr (0.0000, 0.0000, 0.0000)  6 S 2.90-2.92
Pr (0.0000, 0.0000, 0.5000)  6 S 2.97
S (0.4885, 0.2403, 0.2403)  2 Pr 2.90-2.92, 3 Ac 2.97-3.02
S (0.0000, 0.7551, 0.2449)  3 Pr 2.91-2.97, 2 Ac 2.97
S (0.9930, 0.2423, 0.2423)  4 Pr 2.92-2.97, 1 Ac 3.01
S (0.5000, 0.7537, 0.2463)  3 Pr 2.92-2.97, 3 Ac 2.97-3.01
S (0.5000, 0.2463, 0.7537)  3 Pr 2.92-2.97, 3 Ac 2.97-3.01
S (0.0070, 0.7577, 0.7577)  4 Pr 2.92-2.97, 1 Ac 3.01
S (0.0000, 0.2449, 0.7551)  3 Pr 2.91-2.97, 2 Ac 2.97
S (0.5115, 0.7597, 0.7597)  2 Pr 2.90-2.92, 3 Ac 2.97-3.02

=====

Entry 4:
PrMgGe2Pd2: relaxed, PBE-GGA.

## Properties
Energy relative to the elements (meV/atom): -771
E_tot (eV/cell): -30.6
SG: No. 164

a b c (Å): 4.3656 4.3656 7.0525
angles (deg): 90.00 90.00 120.00
With the nearest neighbours (Å) after each atom.
Fractional positions:
Pr (0.0000, 0.0000, 0.0000)  6 Ge 3.17, 6 Pd 3.45, 2 Mg 3.53
Mg (0.0000, 0.0000, 0.5000)  6 Pd 2.78, 6 Ge 2.99
Ge (0.6667, 0.3333, 0.7275)  4 Pd 2.56-2.78
Ge (0.3333, 0.6667, 0.2725)  4 Pd 2.56-2.78
Pd (0.6667, 0.3333, 0.3336)  4 Ge 2.56-2.78, 3 Mg 2.78
Pd (0.3333, 0.6667, 0.6664)  4 Ge 2.56-2.78, 3 Mg 2.78

=====

Question: Which value of E_tot does entry 2 give?
Answer: -29.2 eV/cell

=====

Question: E_tot of number 2 (RbY2TiMo)?
Answer: -29.2 eV/cell

=====

What did the fourth record say?
PrMgGe2Pd2: relaxed, PBE-GGA.

## Properties
Energy relative to the elements (meV/atom): -771
E_tot (eV/cell): -30.6
SG: No. 164

a b c (Å): 4.3656 4.3656 7.0525
angles (deg): 90.00 90.00 120.00
With the nearest neighbours (Å) after each atom.
Fractional positions:
Pr (0.0000, 0.0000, 0.0000)  6 Ge 3.17, 6 Pd 3.45, 2 Mg 3.53
Mg (0.0000, 0.0000, 0.5000)  6 Pd 2.78, 6 Ge 2.99
Ge (0.6667, 0.3333, 0.7275)  4 Pd 2.56-2.78
Ge (0.3333, 0.6667, 0.2725)  4 Pd 2.56-2.78
Pd (0.6667, 0.3333, 0.3336)  4 Ge 2.56-2.78, 3 Mg 2.78
Pd (0.3333, 0.6667, 0.6664)  4 Ge 2.56-2.78, 3 Mg 2.78